{
  "formula": "YBeW2",
  "functional": "PBE",
  "state": "optimized geometry",
  "vol_a3_per_cell": 67.0,
  "formation_enthalpy_0k_ev_per_atom": 0.51,
  "lattice_angstrom": [[2.786, 0.000, 0.000], [0.000, 2.786, 0.000], [0.000, 0.000, 8.633]],
  "species": ["Y", "Be", "W", "W"],
  "fractional_positions": [[0.000, 0.000, 0.000], [0.500, 0.500, 0.250], [0.000, 0.000, 0.438], [0.500, 0.500, 0.701]]
}